[1]
Entry from Alexandria: Tb2Pm6NdEr3 after structural relaxation (PBE-GGA).

Cell lengths 6.2488, 6.2488, 11.8754 Å; angles 95.01, 95.01, 119.99 degrees
Atoms (fractional coordinates):
Tb 0.1665 0.8335 0.0000
Tb 0.8335 0.1665 0.0000
Pm 0.0814 0.4154 0.7473
Pm 0.2508 0.2508 0.2527
Pm 0.4154 0.0814 0.7473
Pm 0.5846 0.9186 0.2527
Pm 0.7492 0.7492 0.7473
Pm 0.9186 0.5846 0.2527
Nd 0.5000 0.5000 0.0000
Er 0.0000 0.0000 0.5000
Er 0.3331 0.6669 0.5000
Er 0.6669 0.3331 0.5000

Values from the calculation:
- N(E_F) (states/eV/atom) = 1.207
- ΔH_f (0 K) (eV/atom) = 0.01
- total magnetization (μB per cell) = 0.00
- DFT total energy (eV/atom) = -4.6707

[2]
Entry from Alexandria: Tb6Pm2NdEr after structural relaxation (PBE-GGA).

Cell lengths 8.8206, 8.8206, 9.7084 Å; angles 94.28, 94.28, 117.97 degrees
Atoms (fractional coordinates):
Tb 0.0185 0.5708 0.1862
Tb 0.1233 0.7442 0.5569
Tb 0.2558 0.8767 0.9431
Tb 0.2940 0.5068 0.3805
Tb 0.4292 0.9815 0.3138
Tb 0.4932 0.7060 0.1195
Tb 0.5068 0.2940 0.8805
Tb 0.5708 0.0185 0.6862
Tb 0.7060 0.4932 0.6195
Tb 0.7442 0.1233 0.0569
Tb 0.8767 0.2558 0.4431
Tb 0.9815 0.4292 0.8138
Pm 0.1968 0.2992 0.0434
Pm 0.2992 0.1968 0.5434
Pm 0.7008 0.8032 0.4566
Pm 0.8032 0.7008 0.9566
Nd 0.0197 0.9803 0.2500
Nd 0.9803 0.0197 0.7500
Er 0.4080 0.5920 0.7500
Er 0.5920 0.4080 0.2500

Values from the calculation:
- N(E_F) (states/eV/atom) = 1.404
- ΔH_f (0 K) (eV/atom) = 0.12
- total magnetization (μB per cell) = 0.00
- DFT total energy (eV/atom) = -4.5460

[3]
Entry from Alexandria: TbPm2NdEr2 after structural relaxation (PBE-GGA).

Cell lengths 6.9926, 16.3477, 3.5159 Å; angles 90.00, 90.00, 90.00 degrees
Atoms (fractional coordinates):
Tb 0.0000 0.0000 0.0000
Tb 0.5000 0.5000 0.5000
Pm 0.2479 0.1603 0.5000
Pm 0.2521 0.6603 0.0000
Pm 0.7479 0.3397 0.0000
Pm 0.7521 0.8397 0.5000
Nd 0.0000 0.5000 0.5000
Nd 0.5000 0.0000 0.0000
Er 0.2487 0.3461 0.0000
Er 0.2513 0.8461 0.5000
Er 0.7487 0.1539 0.5000
Er 0.7513 0.6539 0.0000

Values from the calculation:
- N(E_F) (states/eV/atom) = 1.506
- ΔH_f (0 K) (eV/atom) = 0.15
- total magnetization (μB per cell) = 0.00
- DFT total energy (eV/atom) = -4.5180

[4]
Entry from Alexandria: Tb4Pm2NdEr after structural relaxation (PBE-GGA).

Cell lengths 9.5432, 9.5432, 9.5432 Å; angles 137.98, 103.17, 91.67 degrees
Atoms (fractional coordinates):
Tb 0.2538 0.2498 0.0040
Tb 0.2542 0.7502 0.5040
Tb 0.2548 0.2546 0.4997
Tb 0.2548 0.7551 0.0003
Tb 0.7452 0.2449 0.9997
Tb 0.7452 0.7454 0.5003
Tb 0.7458 0.2498 0.4960
Tb 0.7462 0.7502 0.9960
Pm 0.0000 0.0000 0.0000
Pm 0.0000 0.0000 0.5000
Pm 0.0000 0.5000 0.0000
Pm 0.5000 0.0000 0.5000
Nd 0.0000 0.5000 0.5000
Nd 0.5000 0.5000 0.0000
Er 0.5000 0.0000 0.0000
Er 0.5000 0.5000 0.5000

Values from the calculation:
- N(E_F) (states/eV/atom) = 2.415
- ΔH_f (0 K) (eV/atom) = 0.41
- total magnetization (μB per cell) = 4.55
- DFT total energy (eV/atom) = -4.2573

[5]
Entry from Alexandria: Tb2PmNdEr after structural relaxation (PBE-GGA).

Cell lengths 7.1627, 7.1627, 7.1732 Å; angles 90.00, 90.00, 107.84 degrees
Atoms (fractional coordinates):
Tb 0.1873 0.1873 0.0000
Tb 0.1873 0.1873 0.5000
Tb 0.8127 0.8127 0.0000
Tb 0.8127 0.8127 0.5000
Pm 0.4975 0.5025 0.7500
Pm 0.5025 0.4975 0.2500
Nd 0.2296 0.7704 0.7500
Nd 0.7704 0.2296 0.2500
Er 0.2232 0.7768 0.2500
Er 0.7768 0.2232 0.7500

Values from the calculation:
- N(E_F) (states/eV/atom) = 1.748
- ΔH_f (0 K) (eV/atom) = 0.39
- total magnetization (μB per cell) = 0.01
- DFT total energy (eV/atom) = -4.2784

[6]
Entry from Alexandria: TbPm2Nd2Er2 after structural relaxation (PBE-GGA).

Cell lengths 8.8320, 8.8320, 8.8320 Å; angles 37.92, 37.92, 37.92 degrees
Atoms (fractional coordinates):
Tb 0.0000 0.0000 0.0000
Pm 0.2821 0.2821 0.2821
Pm 0.7179 0.7179 0.7179
Nd 0.1387 0.1387 0.1387
Nd 0.8613 0.8613 0.8613
Er 0.4275 0.4275 0.4275
Er 0.5725 0.5725 0.5725

Values from the calculation:
- N(E_F) (states/eV/atom) = 2.214
- ΔH_f (0 K) (eV/atom) = 0.13
- total magnetization (μB per cell) = 0.00
- DFT total energy (eV/atom) = -4.5556

[7]
Entry from Alexandria: TbPm4Nd2Er2 after structural relaxation (PBE-GGA).

Cell lengths 8.0989, 8.0989, 8.0613 Å; angles 107.59, 107.59, 36.86 degrees
Atoms (fractional coordinates):
Tb 0.0000 0.0000 0.0000
Pm 0.2216 0.2216 0.3303
Pm 0.4447 0.4447 0.6696
Pm 0.5553 0.5553 0.3304
Pm 0.7784 0.7784 0.6697
Nd 0.1116 0.1116 0.6691
Nd 0.8884 0.8884 0.3309
Er 0.3330 0.3330 0.9998
Er 0.6670 0.6670 0.0002

Values from the calculation:
- N(E_F) (states/eV/atom) = 1.562
- ΔH_f (0 K) (eV/atom) = 0.02
- total magnetization (μB per cell) = 0.00
- DFT total energy (eV/atom) = -4.6796

[8]
Entry from Alexandria: Tb4PmNdEr2 after structural relaxation (PBE-GGA).

Cell lengths 9.5137, 9.5137, 6.8167 Å; angles 110.98, 110.98, 88.39 degrees
Atoms (fractional coordinates):
Tb 0.2439 0.2494 0.4954
Tb 0.2461 0.7541 0.5020
Tb 0.2459 0.7539 0.9980
Tb 0.2494 0.2439 0.9954
Tb 0.7506 0.7561 0.0046
Tb 0.7541 0.2461 0.0020
Tb 0.7539 0.2459 0.4980
Tb 0.7561 0.7506 0.5046
Pm 0.5000 0.5000 0.0000
Pm 0.5000 0.5000 0.5000
Nd 0.0000 0.5000 0.0000
Nd 0.5000 0.0000 0.5000
Er 0.0000 0.0000 0.0000
Er 0.0000 0.0000 0.5000
Er 0.0000 0.5000 0.5000
Er 0.5000 0.0000 0.0000

Values from the calculation:
- N(E_F) (states/eV/atom) = 2.252
- ΔH_f (0 K) (eV/atom) = 0.42
- total magnetization (μB per cell) = 5.49
- DFT total energy (eV/atom) = -4.2228

[9]
Entry from Alexandria: TbPm4Nd2Er after structural relaxation (PBE-GGA).

Cell lengths 9.5950, 9.5950, 6.9030 Å; angles 110.94, 110.94, 88.27 degrees
Atoms (fractional coordinates):
Tb 0.0000 0.5000 0.0000
Tb 0.5000 0.0000 0.5000
Pm 0.2431 0.7538 0.4987
Pm 0.2452 0.2485 0.9648
Pm 0.2462 0.7569 0.0013
Pm 0.2485 0.2452 0.4648
Pm 0.7515 0.7548 0.5352
Pm 0.7538 0.2431 0.9987
Pm 0.7548 0.7515 0.0352
Pm 0.7569 0.2462 0.5013
Nd 0.0000 0.5000 0.5000
Nd 0.5000 0.0000 0.0000
Nd 0.5000 0.5000 0.0000
Nd 0.5000 0.5000 0.5000
Er 0.0000 0.0000 0.0000
Er 0.0000 0.0000 0.5000

Values from the calculation:
- N(E_F) (states/eV/atom) = 2.424
- ΔH_f (0 K) (eV/atom) = 0.39
- total magnetization (μB per cell) = 0.00
- DFT total energy (eV/atom) = -4.3282

[10]
Entry from Alexandria: TbPmNd2Er after structural relaxation (PBE-GGA).

Cell lengths 8.2468, 6.7365, 6.2062 Å; angles 90.00, 90.25, 90.00 degrees
Atoms (fractional coordinates):
Tb 0.0000 0.0775 0.2500
Tb 0.0000 0.9225 0.7500
Pm 0.0000 0.5000 0.0000
Pm 0.0000 0.5000 0.5000
Nd 0.3059 0.1927 0.7485
Nd 0.3059 0.8073 0.2485
Nd 0.6941 0.1927 0.7515
Nd 0.6941 0.8073 0.2515
Er 0.5000 0.3430 0.2500
Er 0.5000 0.6570 0.7500

Values from the calculation:
- N(E_F) (states/eV/atom) = 1.194
- ΔH_f (0 K) (eV/atom) = 0.27
- total magnetization (μB per cell) = 0.00
- DFT total energy (eV/atom) = -4.4270

[11]
Entry from Alexandria: Tb5Pm2NdEr after structural relaxation (PBE-GGA).

Cell lengths 9.9223, 9.9223, 9.9223 Å; angles 127.59, 127.59, 77.28 degrees
Atoms (fractional coordinates):
Tb 0.0000 0.0000 0.0000
Tb 0.0722 0.5722 0.9193
Tb 0.1529 0.0722 0.5000
Tb 0.3471 0.8471 0.9193
Tb 0.4278 0.3471 0.5000
Tb 0.5000 0.5000 0.0000
Tb 0.5722 0.6529 0.5000
Tb 0.6529 0.1529 0.0807
Tb 0.8471 0.9278 0.5000
Tb 0.9278 0.4278 0.0807
Pm 0.1166 0.3834 0.5000
Pm 0.3834 0.8834 0.2669
Pm 0.6166 0.1166 0.7331
Pm 0.8834 0.6166 0.5000
Nd 0.2500 0.2500 0.0000
Nd 0.7500 0.7500 0.0000
Er 0.2500 0.7500 0.5000
Er 0.7500 0.2500 0.5000

Values from the calculation:
- N(E_F) (states/eV/atom) = 1.210
- ΔH_f (0 K) (eV/atom) = 0.27
- total magnetization (μB per cell) = 0.01
- DFT total energy (eV/atom) = -4.3931

[12]
Entry from Alexandria: PmNd2Er3Te6 after structural relaxation (PBE-GGA).

Cell lengths 9.9188, 9.9188, 8.9397 Å; angles 104.97, 104.97, 25.29 degrees
Atoms (fractional coordinates):
Pm 0.0000 0.0000 0.0000
Nd 0.3331 0.3331 0.6667
Nd 0.6669 0.6669 0.3333
Er 0.0000 0.0000 0.5000
Er 0.3325 0.3325 0.1669
Er 0.6675 0.6675 0.8331
Te 0.1631 0.1631 0.5914
Te 0.1692 0.1692 0.0738
Te 0.4963 0.4963 0.2568
Te 0.5037 0.5037 0.7432
Te 0.8308 0.8308 0.9262
Te 0.8369 0.8369 0.4086

Values from the calculation:
- N(E_F) (states/eV/atom) = 0.476
- total magnetization (μB per cell) = 0.00
- DFT total energy (eV/atom) = -5.2238

Which value of N(E_F) does entry 5 give?
1.748 states/eV/atom

The lowest N(E_F) belongs to which entry?
PmNd2Er3Te6